[1]
The following is a GGA-PBE calculation of a geometry-optimized Pr2NiAuC structure, from Alexandria via LeMat-Bulk.

abc: 5.310 5.310 3.679
angles: 90.00 90.00 90.00
Atoms (fractional coordinates):
Pr 0.000 0.500 0.000
Pr 0.500 0.000 0.000
Ni 0.000 0.000 0.500
Au 0.500 0.500 0.500
C 0.000 0.000 0.000

Output
The space group is P4/mmm (123). The energy relative to the elements comes out at -2.12 eV per formula unit. Its total magnetic moment is 0.00 μB/f.u.

---

[2]
The following is a GGA-PBE calculation of a geometry-optimized NiRh2AuC structure, from Alexandria via LeMat-Bulk.

abc: 4.093 4.093 3.890
angles: 90.00 90.00 90.00
Atoms (fractional coordinates):
Ni 0.000 0.000 0.000
Rh 0.000 0.500 0.500
Rh 0.500 0.000 0.500
Au 0.500 0.500 0.000
C 0.000 0.000 0.500

Output
The space group is P4/mmm (123). The energy relative to the elements comes out at 0.90 eV per formula unit. Its total magnetic moment is 0.00 μB/f.u.

---

[3]
The following is a GGA-PBE calculation of a geometry-optimized ScNiAuC2 structure, from Alexandria via LeMat-Bulk.

abc: 4.153 4.153 4.640
angles: 90.00 90.00 90.00
Atoms (fractional coordinates):
Sc 0.000 0.000 0.000
Ni 0.000 0.000 0.500
Au 0.500 0.500 0.500
C 0.000 0.500 0.000
C 0.500 0.000 0.000

Output
The space group is P4/mmm (123). The energy relative to the elements comes out at 10.06 eV per formula unit. Its total magnetic moment is 0.00 μB/f.u.

---

[4]
The following is a GGA-PBE calculation of a geometry-optimized NiAuC2Se structure, from Alexandria via LeMat-Bulk.

abc: 3.979 3.979 4.494
angles: 90.00 90.00 90.00
Atoms (fractional coordinates):
Ni 0.000 0.000 0.000
Au 0.500 0.500 0.000
C 0.000 0.500 0.500
C 0.500 0.000 0.500
Se 0.000 0.000 0.500

Output
The calculation puts the formation energy from raw total energies at 2.231 eV per atom. The space group is P4/mmm (123). Its total magnetic moment is 0.57 μB/f.u.

---

[5]
The following is a GGA-PBE calculation of a geometry-optimized TcNi2AuC structure, from Alexandria via LeMat-Bulk.

abc: 3.914 3.914 4.028
angles: 90.00 90.00 90.00
Atoms (fractional coordinates):
Tc 0.000 0.000 0.000
Ni 0.000 0.500 0.500
Ni 0.500 0.000 0.500
Au 0.500 0.500 0.000
C 0.000 0.000 0.500

Output
The space group is P4/mmm (123). The energy relative to the elements comes out at 1.10 eV per formula unit. Its total magnetic moment is 1.42 μB/f.u.

---

[6]
The following is a GGA-PBE calculation of a geometry-optimized Th2NiAuC structure, from Alexandria via LeMat-Bulk.

abc: 6.944 3.869 8.400
angles: 90.00 112.85 90.00
Atoms (fractional coordinates):
Th 0.209 0.250 0.392
Th 0.213 0.250 0.973
Th 0.787 0.750 0.027
Th 0.791 0.750 0.608
Ni 0.458 0.750 0.253
Ni 0.542 0.250 0.747
Au 0.280 0.750 0.701
Au 0.720 0.250 0.299
C 0.161 0.750 0.178
C 0.839 0.250 0.822

Output
The space group is P2_1/m (11). The energy relative to the elements comes out at -2.19 eV per formula unit. Its total magnetic moment is 0.00 μB/f.u.

---

[7]
The following is a GGA-PBE calculation of a geometry-optimized Ti2NiAuC structure, from Alexandria via LeMat-Bulk.

abc: 4.206 4.206 3.815
angles: 90.00 90.00 90.00
Atoms (fractional coordinates):
Ti 0.000 0.500 0.000
Ti 0.500 0.000 0.000
Ni 0.000 0.000 0.500
Au 0.500 0.500 0.500
C 0.000 0.000 0.000

Output
The space group is P4/mmm (123). The energy relative to the elements comes out at -2.22 eV per formula unit. Its total magnetic moment is 0.00 μB/f.u.

---

[8]
The following is a GGA-PBE calculation of a geometry-optimized Tm2NiAuC structure, from Alexandria via LeMat-Bulk.

abc: 4.898 4.898 3.686
angles: 90.00 90.00 90.00
Atoms (fractional coordinates):
Tm 0.000 0.500 0.000
Tm 0.500 0.000 0.000
Ni 0.000 0.000 0.500
Au 0.500 0.500 0.500
C 0.000 0.000 0.000

Output
The space group is P4/mmm (123). The energy relative to the elements comes out at -2.95 eV per formula unit. Its total magnetic moment is 0.00 μB/f.u.